Cd3GaB GGA-PBE relaxed; space-group type = No. 221; calculated total energy = -10.03 eV for the cell shown; mass density = 6.81 g cm⁻³; formation enthalpy at 0 K = 484 meV/atom; density of states at the Fermi level = 2.4 states/eV per cell; energy above the most stable polymorph in this dataset = 0 kJ/mol of formula units
1.0
-1.2478 -2.7933 -3.5301
4.4187 -1.4598 -0.4068
-0.8599 -3.4479 3.0322
B Ga Cd
1 1 3
Cartesian
0.0000 0.0000 0.0000
1.1555 -3.8505 -0.4524
2.2093 -0.7299 -0.2034
-0.4300 -1.7239 1.5161
-0.6239 -1.3966 -1.7651



Cd2GaB GGA-PBE relaxed; space-group type = No. 122; calculated total energy = -16.67 eV for the cell shown; mass density = 6.52 g cm⁻³; formation enthalpy at 0 K = 800 meV/atom; density of states at the Fermi level = 3.8 states/eV per cell; energy above the most stable polymorph in this dataset = 0 kJ/mol of formula units
1.0
4.3683 0.0000 0.0000
0.0000 4.3683 0.0000
2.1842 2.1842 8.1478
B Ga Cd
2 2 4
Cartesian
2.1842 2.1842 0.0000
2.1842 4.3683 4.0739
0.0000 0.0000 0.0000
4.3683 2.1842 4.0739
3.0786 1.0921 2.0370
1.2897 3.2763 2.0370
3.2763 3.4739 6.1109
5.4604 5.2628 6.1109



CdGaB2 GGA-PBE relaxed; space-group type = No. 225; calculated total energy = -11.64 eV for the cell shown; mass density = 6.11 g cm⁻³; formation enthalpy at 0 K = 1414 meV/atom; density of states at the Fermi level = 2.3 states/eV per cell; energy above the most stable polymorph in this dataset = 174 kJ/mol of formula units
1.0
2.8288 1.9968 2.5114
-0.9586 0.7918 4.0928
1.9864 -2.1530 3.1170
B Ga Cd
2 1 1
Cartesian
0.9642 0.1589 2.4303
2.8925 0.4767 7.2909
0.0000 0.0000 0.0000
1.9283 0.3178 4.8606



CdGaB2 GGA-PBE relaxed; space-group type = No. 122; calculated total energy = -26.89 eV for the cell shown; mass density = 5.99 g cm⁻³; formation enthalpy at 0 K = 963 meV/atom; density of states at the Fermi level = 2.7 states/eV per cell; energy above the most stable polymorph in this dataset = 0 kJ/mol of formula units
1.0
3.9696 0.0000 0.0000
0.0000 3.9696 0.0000
1.9848 1.9848 7.1716
B Ga Cd
4 2 2
Cartesian
2.3808 0.9924 1.7929
1.5888 2.9772 1.7929
2.9772 3.5736 5.3787
4.9620 4.3655 5.3787
1.9848 1.9848 0.0000
1.9848 3.9696 3.5858
0.0000 0.0000 0.0000
3.9696 1.9848 3.5858



Cd2GaHgB GGA-PBE relaxed; space-group type = No. 123; calculated total energy = -5.98 eV for the cell shown; mass density = 6.11 g cm⁻³; formation enthalpy at 0 K = 1171 meV/atom; density of states at the Fermi level = 3.4 states/eV per cell
1.0
-3.5331 0.8313 3.6652
-3.7663 -0.6454 -3.4842
-0.1026 -5.0500 1.0464
B Hg Ga Cd
1 1 1 2
Cartesian
-3.7010 -2.4321 0.6137
-1.8831 -0.3227 -1.7421
0.0000 0.0000 0.0000
-0.0513 -2.5250 0.5232
-1.7666 0.4156 1.8326



Cd2GaB2Ir5 GGA-PBE relaxed; space-group type = No. 127; calculated total energy = -128.82 eV for the cell shown; mass density = 15.31 g cm⁻³; formation enthalpy at 0 K = -189 meV/atom; density of states at the Fermi level = 5.8 states/eV per cell
1.0
-2.3896 1.6876 0.2403
-5.4579 -7.2265 -3.5221
-1.4334 -3.3141 9.0210
Cd Ga B Ir
4 2 4 10
Cartesian
-3.9559 -5.4900 -0.7820
-2.9354 -5.0506 6.2809
-1.4332 -2.3537 2.2773
-5.4581 -8.1870 3.2217
0.0000 0.0000 0.0000
-3.4457 -5.2703 2.7495
-1.5834 -2.9827 5.2021
-5.3079 -7.5579 0.2969
-4.6685 -7.4194 5.6825
-2.2228 -3.1212 -0.1835
-2.4805 -0.9539 -0.0393
-6.8004 -7.8991 5.7785
-2.6837 -2.2353 6.9385
-5.7329 -5.7776 1.4944
-6.5972 -6.6177 -1.1992
-3.5479 -3.0754 4.2449
-5.3205 -5.6355 4.5976
-3.9604 -3.2175 1.1416
-3.9238 -2.7694 -1.6409
-1.9115 -0.8132 4.6307



Cd2GaBPt6 GGA-PBE relaxed; space-group type = No. 59; calculated total energy = -101.10 eV for the cell shown; mass density = 14.07 g cm⁻³; formation enthalpy at 0 K = -277 meV/atom; density of states at the Fermi level = 4.9 states/eV per cell
1.0
-3.2432 -3.1231 3.4040
2.4315 -6.0668 -3.2495
6.3217 -0.4643 5.5971
Cd Ga B Pt
4 2 2 12
Cartesian
1.9275 -5.7969 1.1976
5.8588 -2.3438 3.4316
4.4336 -5.9810 3.4164
2.0432 -2.0636 0.0534
4.7698 -4.2467 0.6483
-0.7991 -3.6138 0.6027
1.9634 -2.8519 3.9337
2.0074 -5.0086 -2.6827
0.3452 -2.5633 2.6568
3.4413 -2.7907 5.3981
3.6256 -5.2973 -1.4058
6.8511 -5.5342 1.4500
4.7168 -6.8512 0.4921
3.0564 -8.4501 2.2348
3.3008 -3.2818 2.3875
1.6194 -4.9009 4.1522
-0.8919 -6.0827 0.5028
0.6699 -4.5787 -1.1365
-0.7461 -1.0093 0.7589
-2.3289 -2.5335 2.4203



RbCd2GaB GGA-PBE relaxed; space-group type = No. 123; calculated total energy = -4.47 eV for the cell shown; mass density = 2.85 g cm⁻³; formation enthalpy at 0 K = 1607 meV/atom; density of states at the Fermi level = 4.3 states/eV per cell; energy above the most stable polymorph in this dataset = 497 kJ/mol of formula units
1.0
6.4679 0.0000 0.0000
0.0000 5.4489 0.0000
0.0000 0.0000 6.4679
B Ga Rb Cd
1 1 1 2
Cartesian
0.0000 2.7244 0.0000
3.2339 2.7244 3.2339
0.0000 0.0000 0.0000
0.0000 0.0000 3.2339
3.2339 0.0000 0.0000



RbCd2GaB GGA-PBE relaxed; space-group type = No. 123; calculated total energy = -9.62 eV for the cell shown; mass density = 4.73 g cm⁻³; formation enthalpy at 0 K = 577 meV/atom; density of states at the Fermi level = 2.1 states/eV per cell; energy above the most stable polymorph in this dataset = 0 kJ/mol of formula units
1.0
-5.0487 -1.9891 -2.2261
0.1558 -3.1425 2.4546
-2.9765 3.0186 4.0534
B Ga Rb Cd
1 1 1 2
Cartesian
0.0779 -1.5712 1.2273
0.0000 0.0000 0.0000
-3.9347 -1.0565 2.1410
-1.4883 1.5093 2.0267
-2.5243 -0.9946 -1.1130



CdGaSn2B GGA-PBE relaxed; space-group type = No. 123; calculated total energy = -13.64 eV for the cell shown; mass density = 5.29 g cm⁻³; formation enthalpy at 0 K = 997 meV/atom; density of states at the Fermi level = 2.7 states/eV per cell
1.0
-1.7259 5.3174 -1.0797
-2.7040 -0.2348 3.1659
3.9761 2.0104 3.5451
B Sn Ga Cd
1 2 1 1
Cartesian
-1.3520 -0.1174 1.5829
1.9880 1.0052 1.7726
-0.8629 2.6587 -0.5399
-0.2269 3.5465 2.8156
0.0000 0.0000 0.0000



CdGe2B GGA-PBE relaxed; space-group type = No. 122; calculated total energy = -30.29 eV for the cell shown; mass density = 5.58 g cm⁻³; formation enthalpy at 0 K = 421 meV/atom; density of states at the Fermi level = 3.4 states/eV per cell; energy above the most stable polymorph in this dataset = 0 kJ/mol of formula units
1.0
5.7690 0.0000 0.0000
0.0000 5.7690 0.0000
2.8845 2.8845 4.8050
Ge B Cd
4 2 2
Cartesian
3.7765 1.4423 1.2013
1.9925 4.3268 1.2013
4.3268 4.8770 3.6038
7.2113 6.6610 3.6038
2.8845 2.8845 0.0000
2.8845 5.7690 2.4025
0.0000 0.0000 0.0000
5.7690 2.8845 2.4025



CdGe2B GGA-PBE relaxed; space-group type = No. 225; calculated total energy = -12.70 eV for the cell shown; mass density = 6.35 g cm⁻³; formation enthalpy at 0 K = 1033 meV/atom; density of states at the Fermi level = 2.0 states/eV per cell; energy above the most stable polymorph in this dataset = 236 kJ/mol of formula units
1.0
-0.5175 -3.0545 3.4430
-3.4472 -3.0900 -0.1441
0.9337 -4.4793 -0.7182
Ge B Cd
2 1 1
Cartesian
-0.7577 -2.6560 0.6452
-2.2732 -7.9679 1.9356
0.0000 0.0000 0.0000
-1.5155 -5.3119 1.2904



> Which formula does entry 9 have?

RbCd2GaB



> Which of these has the highest density of states at the Fermi level?

Cd2GaB2Ir5



> The highest density of states at the Fermi level belongs to which entry?

Cd2GaB2Ir5